AcRu | PBE | relaxed

The structure in POSCAR format:
```
AcRu
1.0
4.363 0.000 0.000
-2.182 3.779 0.000
0.000 0.000 22.557
Ac Ru
6 6
direct
0.000 0.000 0.089
0.000 0.000 0.911
0.333 0.667 0.578
0.333 0.667 0.755
0.667 0.333 0.245
0.667 0.333 0.422
0.000 0.000 0.330
0.000 0.000 0.670
0.333 0.667 0.337
0.333 0.667 0.996
0.667 0.333 0.004
0.667 0.333 0.663
```

Output
Total energy, eV per cell: -81.06
SG: R-3m (166)

***

KPmAuO4 | PBE | relaxed

The structure in POSCAR format:
```
KPmAuO4
1.0
6.026 0.000 0.000
0.000 5.231 0.000
-2.297 0.000 8.300
K Pm Au O
2 2 2 8
direct
0.142 0.250 0.139
0.858 0.750 0.861
0.259 0.750 0.467
0.741 0.250 0.533
0.295 0.250 0.734
0.705 0.750 0.266
0.018 0.250 0.807
0.105 0.250 0.456
0.485 0.508 0.328
0.485 0.992 0.328
0.515 0.008 0.672
0.515 0.492 0.672
0.895 0.750 0.544
0.982 0.750 0.193
```

Output
SG: P2_1/m (11)
E_form (uncorrected), meV per atom: -1349

***

TcHgTeN2 | PBE | relaxed

The structure in POSCAR format:
```
TcHgTeN2
1.0
3.944 0.000 0.000
0.000 3.944 0.000
0.000 0.000 5.791
Tc Hg Te N
1 1 1 2
direct
0.000 0.000 0.000
0.500 0.500 0.500
0.000 0.000 0.500
0.000 0.500 0.000
0.500 0.000 0.000
```

Output
SG: P4/mmm (123)
Offset from the most stable computed form, eV per formula unit: 0.00
E_form (uncorrected), meV per atom: 612